! FeHgS3 (PBEsol, optimized geometry); values from VASP
! symmetry = Pm-3m (221)
! E_form (uncorrected) = 1243.0 meV per atom
! Fermi-level density of states = 6.9 states/eV per cell
&SYSTEM
  ibrav = 0, nat = 5, ntyp = 3
/
ATOMIC_SPECIES
S 32.06 S.upf
Hg 200.59 Hg.upf
Fe 55.84 Fe.upf
CELL_PARAMETERS angstrom
-3.837 2.983 0.115
-1.851 -2.231 -3.902
-2.341 -3.124 2.897
ATOMIC_POSITIONS crystal
S 0.000 0.500 0.000
S 0.000 0.000 0.500
S 0.500 0.000 0.000
Hg 0.000 0.000 0.000
Fe 0.500 0.500 0.500